# 1
Material: AgSbPd6
Method: DFT, PBE
State: relaxed

a b c (Å): 6.9670 6.9670 11.3564
angles (deg): 90.00 90.00 109.00
Element x y z (fractional)
Ag  0.7475  0.2525  0.0000
Ag  0.2525  0.7475  0.0000
Ag  0.5000  0.5000  0.7523
Ag  0.5000  0.5000  0.2477
Sb  0.7450  0.2550  0.5000
Sb  0.2550  0.7450  0.5000
Sb  0.0000  0.0000  0.7588
Sb  0.0000  0.0000  0.2412
Pd  0.7507  0.2493  0.7480
Pd  0.1233  0.3733  0.8745
Pd  0.8767  0.6267  0.8745
Pd  0.2493  0.7507  0.7480
Pd  0.6267  0.8767  0.8745
Pd  0.3733  0.1233  0.8745
Pd  0.5000  0.5000  0.5000
Pd  0.8774  0.6282  0.6243
Pd  0.6282  0.8774  0.6243
Pd  0.7507  0.2493  0.2520
Pd  0.1226  0.3718  0.3757
Pd  0.8774  0.6282  0.3757
Pd  0.2493  0.7507  0.2520
Pd  0.6282  0.8774  0.3757
Pd  0.3718  0.1226  0.3757
Pd  0.5000  0.5000  0.0000
Pd  0.8767  0.6267  0.1255
Pd  0.6267  0.8767  0.1255
Pd  0.0000  0.0000  0.5000
Pd  0.3718  0.1226  0.6243
Pd  0.1226  0.3718  0.6243
Pd  0.0000  0.0000  0.0000
Pd  0.3733  0.1233  0.1255
Pd  0.1233  0.3733  0.1255

Computed properties:
Offset from the most stable computed form ... 0 meV/atom

# 2
Material: AgSbPd
Method: DFT, PBE
State: relaxed

a b c (Å): 3.2664 3.2642 13.0734
angles (deg): 90.00 90.00 120.02
Element x y z (fractional)
Pd  0.4454  0.8908  0.0000
Pd  0.4432  0.8865  0.5000
Ag  0.7771  0.5541  0.3408
Ag  0.7771  0.5541  0.6592
Sb  0.1119  0.2238  0.8394
Sb  0.1119  0.2238  0.1606

Computed properties:
Offset from the most stable computed form ... 190 meV/atom

# 3
Material: AgSb2Pd6
Method: DFT, PBE
State: relaxed

a b c (Å): 4.8765 4.8763 8.3733
angles (deg): 104.26 75.77 127.27
Element x y z (fractional)
Ag  0.0000  0.0000  0.5000
Sb  0.3239  0.6801  0.7458
Sb  0.6761  0.3199  0.2542
Pd  0.6669  0.3349  0.9371
Pd  0.3331  0.6651  0.0629
Pd  0.9964  0.0007  0.1707
Pd  0.3440  0.6544  0.4054
Pd  0.0036  0.9993  0.8293
Pd  0.6560  0.3456  0.5946

Computed properties:
Offset from the most stable computed form ... 0 meV/atom

# 4
Material: AgSb2Pd2
Method: DFT, PBE
State: relaxed

a b c (Å): 4.6157 4.6157 6.3504
angles (deg): 68.69 68.69 90.00
Element x y z (fractional)
Sb  0.7500  0.2500  0.5000
Sb  0.2500  0.7500  0.5000
Pd  0.3778  0.3778  0.2443
Pd  0.6222  0.6222  0.7557
Ag  0.0000  0.0000  0.0000

Computed properties:
Offset from the most stable computed form ... 319 meV/atom

# 5
Material: AgSb6Pd
Method: DFT, PBE
State: relaxed

a b c (Å): 8.3845 8.3845 8.4704
angles (deg): 109.21 109.23 109.57
Element x y z (fractional)
Ag  0.0000  0.5000  0.0000
Ag  0.5000  0.0000  0.0000
Sb  0.1494  0.6418  0.7911
Sb  0.8506  0.3582  0.2089
Sb  0.8469  0.6572  0.5041
Sb  0.1531  0.3428  0.4959
Sb  0.8023  0.1456  0.6422
Sb  0.1977  0.8544  0.3578
Sb  0.4966  0.8399  0.6422
Sb  0.5034  0.1601  0.3578
Sb  0.6590  0.8020  0.1597
Sb  0.3410  0.1980  0.8403
Sb  0.6424  0.4994  0.8403
Sb  0.3576  0.5006  0.1597
Pd  0.0000  0.0000  0.5000
Pd  0.5000  0.5000  0.5000

# 6
Material: Ag2SbPd
Method: DFT, PBE
State: relaxed

a b c (Å): 3.0048 3.0048 10.7398
angles (deg): 81.96 81.96 60.00
Element x y z (fractional)
Sb  0.5000  0.5000  0.5000
Pd  0.0000  0.0000  0.0000
Ag  0.0843  0.0843  0.7472
Ag  0.9157  0.9157  0.2528

# 7
Material: AgSbPd14
Method: DFT, PBE
State: relaxed

a b c (Å): 5.6747 5.6747 7.8530
angles (deg): 90.00 90.00 89.99
Element x y z (fractional)
Ag  0.3750  0.3750  0.5000
Sb  0.8750  0.8750  0.5000
Pd  0.8750  0.8750  0.0000
Pd  0.3750  0.3750  0.0000
Pd  0.8750  0.3750  0.5000
Pd  0.8750  0.3750  0.0000
Pd  0.3750  0.8750  0.5000
Pd  0.3750  0.8750  0.0000
Pd  0.6262  0.1238  0.2486
Pd  0.6262  0.1238  0.7514
Pd  0.1238  0.6262  0.2486
Pd  0.1238  0.6262  0.7514
Pd  0.6262  0.6262  0.2486
Pd  0.6262  0.6262  0.7514
Pd  0.1238  0.1238  0.2486
Pd  0.1238  0.1238  0.7514

# 8
Material: Ag2Sb2Pd
Method: DFT, PBE
State: relaxed

a b c (Å): 7.2825 7.2825 4.0353
angles (deg): 90.00 90.00 90.00
Element x y z (fractional)
Sb  0.1724  0.6724  0.5000
Sb  0.6724  0.8276  0.5000
Sb  0.8276  0.3276  0.5000
Sb  0.3276  0.1724  0.5000
Pd  0.0000  0.0000  0.0000
Pd  0.5000  0.5000  0.0000
Ag  0.3645  0.8645  0.0000
Ag  0.8645  0.6355  0.0000
Ag  0.6355  0.1355  0.0000
Ag  0.1355  0.3645  0.0000

Computed properties:
Offset from the most stable computed form ... 89 meV/atom

# 9
Material: Ag2SbPd5
Method: DFT, PBE
State: relaxed

a b c (Å): 6.9875 6.9875 7.4934
angles (deg): 117.79 117.79 90.00
Element x y z (fractional)
Ag  0.1431  0.3569  0.0000
Ag  0.6431  0.1431  0.0000
Ag  0.3569  0.8569  0.0000
Ag  0.8569  0.6431  0.0000
Sb  0.7500  0.7500  0.5000
Sb  0.2500  0.2500  0.5000
Pd  0.4837  0.6834  0.6671
Pd  0.8166  0.0163  0.3329
Pd  0.0000  0.0000  0.0000
Pd  0.5000  0.5000  0.0000
Pd  0.1834  0.9837  0.6671
Pd  0.6834  0.1834  0.6671
Pd  0.9837  0.4837  0.6671
Pd  0.3166  0.8166  0.3329
Pd  0.0163  0.5163  0.3329
Pd  0.5163  0.3166  0.3329

Computed properties:
Offset from the most stable computed form ... 133 meV/atom

# 10
Material: Ag3SbPd
Method: DFT, PBE
State: relaxed

a b c (Å): 5.1582 5.1582 5.1582
angles (deg): 90.00 90.00 90.00
Element x y z (fractional)
Sb  0.0000  0.0000  0.0000
Pd  0.5000  0.5000  0.5000
Ag  0.0000  0.5000  0.0000
Ag  0.0000  0.0000  0.5000
Ag  0.5000  0.0000  0.0000

Computed properties:
Offset from the most stable computed form ... 0 meV/atom

# 11
Material: AgSbPd
Method: DFT, PBE
State: relaxed

a b c (Å): 4.4914 4.4914 4.4914
angles (deg): 60.00 60.00 60.00
Element x y z (fractional)
Sb  0.0000  0.0000  0.0000
Pd  0.2500  0.2500  0.2500
Ag  0.5000  0.5000  0.5000

Computed properties:
Offset from the most stable computed form ... 1 meV/atom

# 12
Material: AgSbPd
Method: DFT, PBE
State: relaxed

a b c (Å): 3.3701 5.7107 6.9794
angles (deg): 114.47 103.55 90.22
Element x y z (fractional)
Ag  0.4974  0.2488  0.9974
Ag  0.5026  0.7512  0.0026
Sb  0.8156  0.8212  0.6428
Sb  0.1844  0.1788  0.3572
Pd  0.1451  0.6451  0.2954
Pd  0.8549  0.3549  0.7046

Computed properties:
Offset from the most stable computed form ... 24 meV/atom

Respective E_form (uncorrected) values: -0.220, 0.017, -0.326, 0.053, -0.071, 0.342, -0.110, 0.118, -0.105, 0.673, -0.172, -0.149 eV/atom.